Entry from Alexandria: a relaxed Ga2Ni9Te crystal (PBE).

## Properties
Density ... 9.15 g cm⁻³
Final energy ... -5.30 eV per atom
ΔE_f (raw) ... -0.195 eV per atom
N(E_F) ... 12.47 states/eV per cell
Magnetization ... 0.463 μB/f.u.

Cell lengths 3.6467, 3.6467, 10.8512 Å; angles 90.00, 90.00, 90.00 degrees
Atoms (fractional coordinates):
Ni 0.5000 0.0000 0.1758
Ni 0.0000 0.5000 0.1758
Ni 0.5000 0.5000 0.6634
Ni 0.5000 0.0000 0.8242
Ga 0.0000 0.0000 0.6588
Te 0.0000 0.0000 0.0000
Ni 0.0000 0.5000 0.8242
Ga 0.0000 0.0000 0.3412
Ni 0.5000 0.5000 0.3366
Ni 0.5000 0.5000 0.0000
Ni 0.0000 0.5000 0.5000
Ni 0.5000 0.0000 0.5000